Record 1
GaOsSe3 | meta-GGA SCAN | PBEsol geometry

Lattice parameters (Å, degrees): 4.679 4.679 4.679 90.00 90.00 90.00
Fractional coordinates of all 5 atoms:
Se 0.000 0.000 0.500
Se 0.500 0.000 0.000
Ga 0.000 0.000 0.000
Os 0.500 0.500 0.500
Se 0.000 0.500 0.000

Calculated values
Energy = -140.94 eV/cell
Total magnetic moment = 0.0003 μB/atom
Mass density = 8.05 g cm⁻³
Fermi-level density of states = 0.649 states/eV/atom



Record 2
K2Ta | meta-GGA SCAN | PBEsol geometry

Lattice parameters (Å, degrees): 2.796 6.623 6.623 90.00 90.00 90.00
Fractional coordinates of all 3 atoms:
K 0.500 0.500 0.000
K 0.500 0.000 0.500
Ta 0.000 0.000 0.000

Calculated values
Energy = -78.33 eV/cell
Total magnetic moment = 0.1917 μB/atom
Mass density = 3.51 g cm⁻³
Formation energy = 4.911 eV/f.u.
Fermi-level density of states = 1.157 states/eV/atom



Record 3
BePH2O | meta-GGA SCAN | PBEsol geometry

Lattice parameters (Å, degrees): 2.902 2.902 4.642 90.00 90.00 90.00
Fractional coordinates of all 5 atoms:
H 0.500 0.000 0.000
O 0.500 0.500 0.500
Be 0.000 0.000 0.000
H 0.000 0.500 0.000
P 0.000 0.000 0.500

Calculated values
Energy = -27.47 eV/cell
Total magnetic moment = 0.0000 μB/atom
Mass density = 2.46 g cm⁻³
Fermi-level density of states = 0.164 states/eV/atom